Entry a
Below is a relaxed LaYZr crystal, with properties calculated at the GGA-PBE level.

The space group is I4mm (No. 107) and the conventional cell measures 4.0420, 4.0420 and 10.9804 Å, with angles of 90.00, 90.00 and 90.00 degrees. The inequivalent atoms are La at (0.0000, 0.0000, 0.0000), Y at (0.0000, 0.0000, 0.3115) and Zr at (0.0000, 0.0000, 0.6615).



Entry b
Below is a relaxed LaYZr crystal, with properties calculated at the GGA-PBE level.

The space group is P3m1 (No. 156) and the conventional cell measures 3.4758, 3.4758 and 8.5493 Å, with angles of 90.00, 90.00 and 120.00 degrees. The inequivalent atoms are La at (0.0000, 0.0000, 0.0000), Y at (0.6667, 0.3333, 0.3733) and Zr at (0.3333, 0.6667, 0.6815).



We find entry b to be the most stable, with the next structure 85 meV per atom higher.



Entry a
Below is a relaxed LaYZr crystal, with properties calculated at the GGA-PBE level.

The space group is P-6m2 (No. 187) and the conventional cell measures 5.5171, 5.5171 and 3.4217 Å, with angles of 90.00, 90.00 and 120.00 degrees. The inequivalent atoms are La at (0.0000, 0.0000, 0.0000), Y at (0.6667, 0.3333, 0.5000) and Zr at (0.3333, 0.6667, 0.5000).



Entry b
Below is a relaxed LaYZr crystal, with properties calculated at the GGA-PBE level.

The space group is P4/nmm (No. 129, origin choice 2) and the conventional cell measures 3.9436, 3.9436 and 11.8087 Å, with angles of 90.00, 90.00 and 90.00 degrees. The inequivalent atoms are La at (0.2500, 0.2500, 0.2190), Y at (0.2500, 0.2500, 0.5902) and Zr at (0.2500, 0.2500, 0.9473).



Entry c
Below is a relaxed LaYZr crystal, with properties calculated at the GGA-PBE level.

The space group is F-43m (No. 216) and the conventional cell measures 7.4695, 7.4695 and 7.4695 Å, with angles of 90.00, 90.00 and 90.00 degrees. The inequivalent atoms are La at (0.0000, 0.0000, 0.0000), Y at (0.0000, 0.0000, 0.5000) and Zr at (0.2500, 0.2500, 0.7500).



We find entry b to be the most stable, with the next structure 75 meV per atom higher.



Entry a
Below is a relaxed LaYZr crystal, with properties calculated at the GGA-PBE level.

The space group is Fmm2 (No. 42) and the conventional cell measures 4.8478, 4.8570 and 15.3458 Å, with angles of 90.00, 90.00 and 90.00 degrees. The inequivalent atoms are La at (0.0000, 0.0000, 0.0000), Y at (0.0000, 0.0000, 0.6915) and Zr at (0.0000, 0.0000, 0.3388).



Entry b
Below is a relaxed LaYZr crystal, with properties calculated at the GGA-PBE level.

The space group is P6/mmm (No. 191) and the conventional cell measures 5.4587, 5.4587 and 6.8356 Å, with angles of 90.00, 90.00 and 120.00 degrees. The inequivalent atoms are La at (0.3333, 0.6667, 0.0000), Y at (0.0000, 0.0000, 0.2678) and Zr at (0.3333, 0.6667, 0.5000).



We find entry a to be the most stable, with the next structure 26 meV per atom higher.



Entry a
Below is a relaxed LaY3Zr crystal, with properties calculated at the GGA-PBE level.

The space group is Pm-3m (No. 221) and the conventional cell measures 5.6301, 5.6301 and 5.6301 Å, with angles of 90.00, 90.00 and 90.00 degrees. The inequivalent atoms are La at (0.0000, 0.0000, 0.0000), Y at (0.0000, 0.5000, 0.5000) and Zr at (0.5000, 0.5000, 0.5000).



Entry b
Below is a relaxed LaY3Zr crystal, with properties calculated at the GGA-PBE level.

The space group is Pm-3m (No. 221) and the conventional cell measures 5.5148, 5.5148 and 5.5148 Å, with angles of 90.00, 90.00 and 90.00 degrees. The inequivalent atoms are La at (0.0000, 0.0000, 0.0000), Y at (0.0000, 0.0000, 0.5000) and Zr at (0.5000, 0.5000, 0.5000).



We find entry a to be the most stable, with the next structure 515 meV per atom higher.



Entry a
Below is a relaxed La3Zn5 crystal, with properties calculated at the GGA-PBE level.

The space group is P-1 (No. 2) and the conventional cell measures 6.1896, 7.9909 and 8.3525 Å, with angles of 87.89, 70.88 and 77.97 degrees. The inequivalent atoms are La at (0.1664, 0.4912, 0.1901), La at (0.1760, 0.8213, 0.4927), La at (0.2307, 0.9680, 0.0543), Zn at (0.2347, 0.1286, 0.6807), Zn at (0.3021, 0.6417, 0.7993), Zn at (0.3257, 0.4189, 0.5255), Zn at (0.3936, 0.3099, 0.8389) and Zn at (0.4150, 0.1334, 0.3325).



Entry b
Below is a relaxed La3Zn5 crystal, with properties calculated at the GGA-PBE level.

The space group is P6_3/mcm (No. 193) and the conventional cell measures 9.6060, 9.6060 and 4.8816 Å, with angles of 90.00, 90.00 and 120.00 degrees. The inequivalent atoms are La at (0.0000, 0.3772, 0.2500), Zn at (0.0000, 0.1662, 0.7500) and Zn at (0.3333, 0.6667, 0.0000).



We find entry a to be the most stable, with the next structure 92 meV per atom higher.



Entry a
Below is a relaxed La5Zn4 crystal, with properties calculated at the GGA-PBE level.

The space group is P6_3/mcm (No. 193) and the conventional cell measures 9.2746, 9.2746 and 6.9052 Å, with angles of 90.00, 90.00 and 120.00 degrees. The inequivalent atoms are La at (0.0000, 0.2846, 0.2500), La at (0.3333, 0.6667, 0.0000), Zn at (0.0000, 0.0000, 0.0000) and Zn at (0.0000, 0.3756, 0.7500).



Entry b
Below is a relaxed La5Zn4 crystal, with properties calculated at the GGA-PBE level.

The space group is C2/m (No. 12) and the conventional cell measures 12.6686, 3.8842 and 11.1954 Å, with angles of 90.00, 110.99 and 90.00 degrees. The inequivalent atoms are La at (0.0000, 0.0000, 0.0000), La at (0.1237, 0.0000, 0.3866), La at (0.2438, 0.0000, 0.8343), Zn at (0.0459, 0.5000, 0.8146) and Zn at (0.0968, 0.5000, 0.6024).



We find entry b to be the most stable, with the next structure 32 meV per atom higher.